YSc2Ru: PBEsol geometry, SCAN.

POSCAR file:
```
YSc2Ru
1.0
-2.480 0.517 -1.992
-0.424 -3.180 -0.301
-5.183 0.079 6.474
Y Sc Ru
1 2 1
Direct
0.500 0.500 0.500
0.000 0.000 0.182
0.000 0.000 0.818
0.500 0.500 0.000
```

Summary:
Energy in eV per atom: -23.165
Excess energy over the best structure of this formula in the dataset in meV/atom: 0.0